Arrangement A

VASP calculation (PBE) on a relaxed structure of Zr4Cu.

Cell lengths 5.357, 5.357, 5.357 Å; angles 109.47, 109.47, 109.47 degrees
Fractional coordinates of all 5 atoms:
Zr 0.500 0.000 0.000
Zr 0.500 0.500 0.500
Zr 0.000 0.500 0.000
Zr 0.000 0.000 0.500
Cu 0.000 0.000 0.000

=====

Arrangement B

VASP calculation (PBE) on a relaxed structure of Zr4Cu.

Cell lengths 4.936, 4.936, 4.936 Å; angles 90.00, 90.00, 90.00 degrees
Each line ends with the local moment (μB).
Fractional coordinates of all 5 atoms:
Zr 0.000 0.000 0.000  0.25
Zr 0.500 0.000 0.500  0.08
Zr 0.000 0.500 0.500  0.08
Zr 0.500 0.500 0.000  0.08
Cu 0.500 0.500 0.500  0.03

=====

Verdict on stability: arrangement A comes out at the bottom.

=====

Arrangement A

VASP calculation (PBE) on a relaxed structure of Dy.

Cell lengths 4.910, 4.910, 4.910 Å; angles 60.00, 60.00, 60.00 degrees
Fractional coordinates of all 2 atoms:
Dy 0.000 0.000 0.000
Dy 0.750 0.750 0.750

=====

Arrangement B

VASP calculation (PBE) on a relaxed structure of Dy.

Cell lengths 8.804, 8.804, 8.804 Å; angles 23.32, 23.32, 23.32 degrees
Fractional coordinates of all 3 atoms:
Dy 0.000 0.000 0.000
Dy 0.222 0.222 0.222
Dy 0.778 0.778 0.778

=====

Arrangement C

VASP calculation (PBE) on a relaxed structure of Dy.

Cell lengths 3.463, 5.580, 5.580 Å; angles 119.99, 90.00, 90.00 degrees
Fractional coordinates of all 3 atoms:
Dy 0.500 0.667 0.333
Dy 0.500 0.333 0.667
Dy 0.000 0.000 0.000

=====

Arrangement D

VASP calculation (PBE) on a relaxed structure of Dy.

Cell lengths 3.608, 3.608, 6.686 Å; angles 105.64, 105.64, 120.02 degrees
Fractional coordinates of all 2 atoms:
Dy 0.917 0.083 0.750
Dy 0.083 0.917 0.250

=====

Verdict on stability: arrangement A comes out at the bottom.

=====

Arrangement A

VASP calculation (PBE) on a relaxed structure of Dy.

Cell lengths 3.550, 3.550, 11.417 Å; angles 90.00, 90.00, 120.00 degrees
Fractional coordinates of all 4 atoms:
Dy 0.000 0.000 0.000
Dy 0.000 0.000 0.500
Dy 0.667 0.333 0.750
Dy 0.333 0.667 0.250

=====

Arrangement B

VASP calculation (PBE) on a relaxed structure of Dy.

Cell lengths 4.667, 4.667, 4.667 Å; angles 97.41, 97.41, 137.91 degrees
Fractional coordinates of all 2 atoms:
Dy 0.125 0.875 0.750
Dy 0.875 0.125 0.250

=====

Verdict on stability: arrangement B comes out at the bottom.

=====

Arrangement A

VASP calculation (PBE) on a relaxed structure of DyEr4.

Cell lengths 5.558, 5.558, 5.558 Å; angles 90.00, 90.00, 90.00 degrees
Fractional coordinates of all 5 atoms:
Er 0.000 0.000 0.000
Er 0.500 0.000 0.500
Er 0.000 0.500 0.500
Er 0.500 0.500 0.000
Dy 0.500 0.500 0.500

=====

Arrangement B

VASP calculation (PBE) on a relaxed structure of DyEr4.

Cell lengths 4.439, 4.439, 8.860 Å; angles 104.50, 104.50, 90.02 degrees
Each line ends with the local moment (μB).
Fractional coordinates of all 5 atoms:
Dy 0.500 0.000 0.500  0.15
Er 0.750 0.750 0.000  0.03
Er 0.250 0.250 0.000  0.03
Er 0.906 0.406 0.312  0.14
Er 0.094 0.594 0.688  0.14

=====

Verdict on stability: arrangement A comes out at the bottom.

=====

Arrangement A

VASP calculation (PBE) on a relaxed structure of Dy5Er4.

Cell lengths 3.578, 9.002, 9.002 Å; angles 91.69, 78.53, 78.53 degrees
Fractional coordinates of all 9 atoms:
Dy 0.000 0.040 0.960
Dy 0.000 0.293 0.707
Dy 0.000 0.667 0.333
Dy 0.292 0.374 0.041
Dy 0.708 0.959 0.626
Er 0.356 0.621 0.668
Er 0.356 0.001 0.287
Er 0.644 0.713 0.999
Er 0.644 0.332 0.379

=====

Arrangement B

VASP calculation (PBE) on a relaxed structure of Dy5Er4.

Cell lengths 4.966, 7.873, 7.873 Å; angles 84.23, 71.56, 71.56 degrees
Fractional coordinates of all 9 atoms:
Dy 0.000 0.000 0.000
Dy 0.000 0.334 0.666
Dy 0.000 0.667 0.333
Dy 0.333 0.334 0.000
Dy 0.667 0.000 0.666
Er 0.333 0.667 0.667
Er 0.333 0.000 0.333
Er 0.667 0.667 0.000
Er 0.667 0.333 0.333

=====

Verdict on stability: arrangement A comes out at the bottom.

=====

Arrangement A

VASP calculation (PBE) on a relaxed structure of Dy3Er.

Cell lengths 4.982, 4.982, 6.105 Å; angles 114.08, 114.08, 90.00 degrees
Fractional coordinates of all 4 atoms:
Dy 0.750 0.250 0.500
Dy 0.250 0.750 0.500
Dy 0.500 0.500 0.000
Er 0.000 0.000 0.000

=====

Arrangement B

VASP calculation (PBE) on a relaxed structure of Dy3Er.

Cell lengths 3.605, 6.233, 6.663 Å; angles 117.89, 105.70, 90.00 degrees
Fractional coordinates of all 4 atoms:
Dy 0.251 0.583 0.501
Dy 0.500 0.500 0.000
Dy 0.749 0.082 0.499
Er 0.000 0.001 0.000

=====

Arrangement C

VASP calculation (PBE) on a relaxed structure of Dy3Er.

Cell lengths 5.628, 5.628, 5.628 Å; angles 60.00, 60.00, 60.00 degrees
Fractional coordinates of all 4 atoms:
Er 0.500 0.500 0.500
Dy 0.000 0.000 0.000
Dy 0.750 0.750 0.750
Dy 0.250 0.250 0.250

=====

Verdict on stability: arrangement C comes out at the bottom.

=====

Arrangement A

VASP calculation (PBE) on a relaxed structure of Dy3Er.

Cell lengths 3.607, 5.590, 6.247 Å; angles 90.00, 90.00, 90.00 degrees
Fractional coordinates of all 4 atoms:
Dy 0.000 0.500 0.333
Dy 0.500 0.000 0.500
Dy 0.500 0.500 0.834
Er 0.000 0.000 0.000

=====

Arrangement B

VASP calculation (PBE) on a relaxed structure of Dy3Er.

Cell lengths 4.987, 4.987, 4.987 Å; angles 90.00, 90.00, 90.00 degrees
Fractional coordinates of all 4 atoms:
Dy 0.000 0.500 0.500
Dy 0.500 0.000 0.500
Dy 0.500 0.500 0.000
Er 0.000 0.000 0.000

=====

Verdict on stability: arrangement B comes out at the bottom.

=====

Arrangement A

VASP calculation (PBE) on a relaxed structure of Dy3Er13.

Cell lengths 7.008, 7.008, 9.899 Å; angles 90.00, 90.00, 90.01 degrees
Fractional coordinates of all 16 atoms:
Dy 0.000 0.000 0.250
Dy 0.750 0.250 0.000
Dy 0.000 0.000 0.750
Er 0.500 0.000 0.250
Er 0.500 0.500 0.251
Er 0.000 0.500 0.250
Er 0.749 0.749 0.000
Er 0.251 0.251 0.000
Er 0.250 0.750 0.000
Er 0.500 0.000 0.750
Er 0.500 0.500 0.749
Er 0.000 0.500 0.750
Er 0.750 0.250 0.500
Er 0.750 0.750 0.500
Er 0.250 0.250 0.500
Er 0.250 0.750 0.500

=====

Arrangement B

VASP calculation (PBE) on a relaxed structure of Dy3Er13.

Cell lengths 7.176, 8.327, 8.327 Å; angles 96.41, 90.00, 90.00 degrees
Fractional coordinates of all 16 atoms:
Dy 0.750 0.041 0.959
Dy 0.000 0.292 0.708
Dy 0.250 0.041 0.959
Er 0.750 0.958 0.541
Er 0.750 0.542 0.458
Er 0.750 0.459 0.042
Er 0.000 0.708 0.791
Er 0.000 0.209 0.292
Er 0.000 0.791 0.209
Er 0.250 0.958 0.541
Er 0.250 0.542 0.458
Er 0.250 0.459 0.042
Er 0.500 0.292 0.708
Er 0.500 0.707 0.791
Er 0.500 0.209 0.293
Er 0.500 0.791 0.209

=====

Verdict on stability: arrangement A comes out at the bottom.